Ca3AgAu PBE relaxed; size of the total moment = 0.0 μB/f.u.; formation energy from the elements = -0.45 eV/atom; ρ = 4.98 g cm⁻³; crystal system = monoclinic; SG = No. 14; excess energy over the best structure of this formula in the dataset = 0.00 kcal/mol of atoms; E = -57.6 eV per cell
1.0
9.1808 0.0000 0.0000
0.0000 8.2791 0.0000
-3.7181 0.0000 7.4537
Ca Ag Au
12 4 4
direct
0.0234 0.0212 0.3083 Ca
0.0234 0.4788 0.8083 Ca
0.2733 0.1219 0.0934 Ca
0.2733 0.3781 0.5934 Ca
0.3870 0.7198 0.9534 Ca
0.3870 0.7802 0.4534 Ca
0.6130 0.2198 0.5466 Ca
0.6130 0.2802 0.0466 Ca
0.7267 0.6219 0.4066 Ca
0.7267 0.8781 0.9066 Ca
0.9766 0.5212 0.1917 Ca
0.9766 0.9788 0.6917 Ca
0.3536 0.0318 0.7261 Ag
0.3536 0.4682 0.2261 Ag
0.6464 0.5318 0.7739 Ag
0.6464 0.9682 0.2739 Ag
0.1075 0.7051 0.5561 Au
0.1075 0.7949 0.0561 Au
0.8925 0.2051 0.9439 Au
0.8925 0.2949 0.4439 Au